No. 1
{
  "formula": "LaMnP3",
  "functional": "GGA-PBE",
  "state": "relaxed",
  "space_group": "Pm-3m (221)",
  "magnetic_moment_mub_per_atom": 0.88,
  "formation_energy_ev_per_atom": 1.108,
  "polymorph_energy_mev_per_atom": 1662.0,
  "density_g_cm3": 3.0,
  "dos_ef_per_ev_atom": 1.5035,
  "energy_ev_per_cell": -24.79,
  "cell": [[5.4275, 0.0000, 0.0000], [0.0000, 5.4275, 0.0000], [0.0000, 0.0000, 5.4275]],
  "species": ["La", "Mn", "P", "P", "P"],
  "frac_coords": [[0.0000, 0.0000, 0.0000], [0.5000, 0.5000, 0.5000], [0.0000, 0.0000, 0.5000], [0.0000, 0.5000, 0.0000], [0.5000, 0.0000, 0.0000]]
}

---

No. 2
{
  "formula": "PmCu2SiAu4",
  "functional": "GGA-PBE",
  "state": "relaxed",
  "space_group": "R-3m (166)",
  "magnetic_moment_mub_per_atom": 0.00,
  "raw_formation_energy_ev_per_fu": -1.7,
  "density_g_cm3": 12.2,
  "dos_ef_per_ev_atom": 0.4975,
  "energy_ev_per_cell": -33.23,
  "cell": [[2.2235, 1.2837, 8.6165], [-2.2235, 1.2837, 8.6165], [0.0000, -2.5675, 8.6165]],
  "species": ["Pm", "Cu", "Cu", "Si", "Au", "Au", "Au", "Au"],
  "frac_coords": [[0.0000, 0.0000, 0.0000], [0.2435, 0.2435, 0.2435], [0.7565, 0.7565, 0.7565], [0.5000, 0.5000, 0.5000], [0.1322, 0.1322, 0.1322], [0.3990, 0.3990, 0.3990], [0.6010, 0.6010, 0.6010], [0.8678, 0.8678, 0.8678]]
}

---

No. 3
{
  "formula": "YEr6Tm3Sc2",
  "functional": "GGA-PBE",
  "state": "relaxed",
  "space_group": "C2/m (12)",
  "magnetic_moment_mub_per_atom": 0.00,
  "formation_energy_ev_per_atom": 0.039,
  "density_g_cm3": 7.9,
  "dos_ef_per_ev_atom": 1.5138,
  "energy_ev_per_cell": -59.45,
  "cell": [[3.0058, -5.1994, 0.0000], [3.0058, 5.1994, 0.0000], [-1.9964, 0.0000, 11.3070]],
  "species": ["Y", "Er", "Er", "Er", "Er", "Er", "Er", "Tm", "Tm", "Tm", "Sc", "Sc"],
  "frac_coords": [[0.0000, 0.0000, 0.0000], [0.0829, 0.4191, 0.2464], [0.2534, 0.2534, 0.7535], [0.4191, 0.0829, 0.2464], [0.5809, 0.9171, 0.7536], [0.7466, 0.7466, 0.2465], [0.9171, 0.5809, 0.7536], [0.1669, 0.8331, 0.5000], [0.5000, 0.5000, 0.5000], [0.8331, 0.1669, 0.5000], [0.3335, 0.6665, 0.0000], [0.6665, 0.3335, 0.0000]]
}

---

No. 4
{
  "formula": "CaAcTbTm",
  "functional": "GGA-PBE",
  "state": "relaxed",
  "space_group": "F-43m (216)",
  "magnetic_moment_mub_per_atom": 0.00,
  "formation_energy_ev_per_atom": 0.125,
  "density_g_cm3": 6.8,
  "dos_ef_per_ev_atom": 1.5920,
  "energy_ev_per_cell": -14.71,
  "cell": [[0.0000, 4.1782, 4.1782], [4.1782, 0.0000, 4.1782], [4.1782, 4.1782, 0.0000]],
  "species": ["Ca", "Ac", "Tb", "Tm"],
  "frac_coords": [[0.0000, 0.0000, 0.0000], [0.2500, 0.2500, 0.2500], [0.7500, 0.7500, 0.7500], [0.5000, 0.5000, 0.5000]]
}

---

No. 5
{
  "formula": "TiZn2Re",
  "functional": "GGA-PBE",
  "state": "relaxed",
  "space_group": "I-42d (122)",
  "magnetic_moment_mub_per_atom": 0.00,
  "formation_energy_ev_per_atom": 0.350,
  "polymorph_energy_mev_per_atom": 241.7,
  "density_g_cm3": 9.4,
  "dos_ef_per_ev_atom": 0.6916,
  "energy_ev_per_cell": -42.98,
  "cell": [[-1.8350, 1.8350, 9.5999], [1.8350, -1.8350, 9.5999], [1.8350, 1.8350, -9.5999]],
  "species": ["Ti", "Ti", "Zn", "Zn", "Zn", "Zn", "Re", "Re"],
  "frac_coords": [[0.0000, 0.0000, 0.0000], [0.7500, 0.2500, 0.5000], [0.1408, 0.6250, 0.0158], [0.3750, 0.3908, 0.5158], [0.6092, 0.1250, 0.9842], [0.8750, 0.8592, 0.4842], [0.2500, 0.7500, 0.5000], [0.5000, 0.5000, 0.0000]]
}

---

No. 6
{
  "formula": "Cr2HgPtBr",
  "functional": "GGA-PBE",
  "state": "relaxed",
  "space_group": "P4/mmm (123)",
  "magnetic_moment_mub_per_atom": 1.77,
  "raw_formation_energy_ev_per_fu": 6.1,
  "density_g_cm3": 7.7,
  "dos_ef_per_ev_atom": 0.5053,
  "energy_ev_per_cell": -21.20,
  "cell": [[4.7241, 0.0000, 0.0000], [0.0000, 4.7241, 0.0000], [0.0000, 0.0000, 5.5823]],
  "species": ["Cr", "Cr", "Hg", "Pt", "Br"],
  "frac_coords": [[0.0000, 0.5000, 0.0000], [0.5000, 0.0000, 0.0000], [0.0000, 0.0000, 0.5000], [0.5000, 0.5000, 0.5000], [0.0000, 0.0000, 0.0000]]
}

---

No. 7
{
  "formula": "UAs2",
  "functional": "GGA-PBE",
  "state": "relaxed",
  "space_group": "Pnma (62)",
  "magnetic_moment_mub_per_atom": 0.67,
  "formation_energy_ev_per_atom": -0.590,
  "density_g_cm3": 9.9,
  "dos_ef_per_ev_atom": 1.9948,
  "energy_ev_per_cell": -89.43,
  "cell": [[7.0809, 0.0000, 0.0000], [0.0000, 3.8864, 0.0000], [0.0000, 0.0000, 9.4423]],
  "species": ["U", "U", "U", "U", "As", "As", "As", "As", "As", "As", "As", "As"],
  "frac_coords": [[0.2042, 0.2500, 0.1478], [0.2958, 0.7500, 0.6478], [0.7042, 0.2500, 0.3522], [0.7958, 0.7500, 0.8522], [0.0985, 0.2500, 0.8294], [0.1064, 0.2500, 0.4527], [0.3936, 0.7500, 0.9527], [0.4015, 0.7500, 0.3294], [0.5985, 0.2500, 0.6706], [0.6064, 0.2500, 0.0473], [0.8936, 0.7500, 0.5473], [0.9015, 0.7500, 0.1706]]
}

---

No. 8
{
  "formula": "Na3InI4",
  "functional": "GGA-PBE",
  "state": "relaxed",
  "space_group": "P2/c (13)",
  "magnetic_moment_mub_per_atom": 0.00,
  "raw_formation_energy_ev_per_fu": -8.4,
  "polymorph_energy_mev_per_atom": 0.0,
  "density_g_cm3": 3.9,
  "dos_ef_per_ev_atom": 0.0000,
  "energy_ev_per_cell": -42.55,
  "cell": [[8.1931, 0.0000, 0.0000], [0.0000, 9.4679, 0.0000], [-2.7071, 0.0000, 7.6828]],
  "species": ["Na", "Na", "Na", "Na", "Na", "Na", "In", "In", "I", "I", "I", "I", "I", "I", "I", "I"],
  "frac_coords": [[0.0000, 0.1209, 0.2500], [0.0000, 0.3730, 0.7500], [0.0000, 0.6270, 0.2500], [0.0000, 0.8791, 0.7500], [0.5000, 0.1221, 0.7500], [0.5000, 0.8779, 0.2500], [0.5000, 0.3756, 0.2500], [0.5000, 0.6244, 0.7500], [0.2302, 0.3632, 0.5010], [0.2302, 0.6368, 0.0010], [0.2475, 0.1169, 0.9907], [0.2475, 0.8831, 0.4907], [0.7525, 0.1169, 0.5093], [0.7525, 0.8831, 0.0093], [0.7698, 0.3632, 0.9990], [0.7698, 0.6368, 0.4990]]
}

---

No. 9
{
  "formula": "ErHfReAg",
  "functional": "GGA-PBE",
  "state": "relaxed",
  "space_group": "F-43m (216)",
  "magnetic_moment_mub_per_atom": 0.00,
  "formation_energy_ev_per_atom": -0.091,
  "density_g_cm3": 13.5,
  "dos_ef_per_ev_atom": 0.7173,
  "energy_ev_per_cell": -30.18,
  "cell": [[0.0000, 3.4005, 3.4005], [3.4005, 0.0000, 3.4005], [3.4005, 3.4005, 0.0000]],
  "species": ["Er", "Hf", "Re", "Ag"],
  "frac_coords": [[0.0000, 0.0000, 0.0000], [0.5000, 0.5000, 0.5000], [0.2500, 0.2500, 0.2500], [0.7500, 0.7500, 0.7500]]
}

---

No. 10
{
  "formula": "Ag12PtAu7",
  "functional": "GGA-PBE",
  "state": "relaxed",
  "space_group": "R-3 (148)",
  "magnetic_moment_mub_per_atom": 0.00,
  "formation_energy_ev_per_atom": 0.021,
  "density_g_cm3": 12.9,
  "dos_ef_per_ev_atom": 0.1781,
  "energy_ev_per_cell": -62.78,
  "cell": [[5.8441, 3.3741, 3.1234], [-5.8441, 3.3741, 3.1234], [0.0000, -6.7482, 3.1234]],
  "species": ["Ag", "Ag", "Ag", "Ag", "Ag", "Ag", "Ag", "Ag", "Ag", "Ag", "Ag", "Ag", "Pt", "Au", "Au", "Au", "Au", "Au", "Au", "Au"],
  "frac_coords": [[0.0317, 0.2609, 0.7667], [0.1397, 0.4209, 0.1970], [0.1970, 0.1397, 0.4209], [0.2333, 0.9683, 0.7391], [0.2609, 0.7667, 0.0317], [0.4209, 0.1970, 0.1397], [0.5791, 0.8030, 0.8603], [0.7391, 0.2333, 0.9683], [0.7667, 0.0317, 0.2609], [0.8030, 0.8603, 0.5791], [0.8603, 0.5791, 0.8030], [0.9683, 0.7391, 0.2333], [0.5000, 0.5000, 0.5000], [0.0000, 0.0000, 0.0000], [0.1853, 0.5612, 0.6262], [0.3738, 0.8147, 0.4388], [0.4388, 0.3738, 0.8147], [0.5612, 0.6262, 0.1853], [0.6262, 0.1853, 0.5612], [0.8147, 0.4388, 0.3738]]
}

---

No. 11
{
  "formula": "ZnCu2PbF8",
  "functional": "GGA-PBE",
  "state": "relaxed",
  "space_group": "I-4 (82)",
  "magnetic_moment_mub_per_atom": 0.17,
  "raw_formation_energy_ev_per_fu": -21.9,
  "density_g_cm3": 5.7,
  "dos_ef_per_ev_atom": 0.1568,
  "energy_ev_per_cell": -50.09,
  "cell": [[-2.7242, 2.7242, 5.4472], [2.7242, -2.7242, 5.4472], [2.7242, 2.7242, -5.4472]],
  "species": ["Zn", "Cu", "Cu", "Pb", "F", "F", "F", "F", "F", "F", "F", "F"],
  "frac_coords": [[0.0000, 0.0000, 0.0000], [0.2500, 0.7500, 0.5000], [0.5000, 0.5000, 0.0000], [0.7500, 0.2500, 0.5000], [0.0173, 0.6852, 0.0730], [0.0557, 0.9827, 0.6679], [0.1663, 0.2567, 0.5235], [0.3148, 0.3877, 0.3321], [0.3572, 0.8337, 0.0904], [0.6123, 0.9443, 0.9270], [0.7332, 0.6428, 0.4765], [0.7433, 0.2668, 0.9096]]
}

---

No. 12
{
  "formula": "Li2CdGa2",
  "functional": "GGA-PBE",
  "state": "relaxed",
  "space_group": "I4/mmm (139)",
  "magnetic_moment_mub_per_atom": 0.00,
  "formation_energy_ev_per_atom": -0.086,
  "polymorph_energy_mev_per_atom": 129.5,
  "density_g_cm3": 4.6,
  "dos_ef_per_ev_atom": 0.2896,
  "energy_ev_per_cell": -11.22,
  "cell": [[-1.9183, 1.9183, 6.4725], [1.9183, -1.9183, 6.4725], [1.9183, 1.9183, -6.4725]],
  "species": ["Li", "Li", "Cd", "Ga", "Ga"],
  "frac_coords": [[0.2500, 0.7500, 0.5000], [0.7500, 0.2500, 0.5000], [0.0000, 0.0000, 0.0000], [0.4010, 0.4010, 0.0000], [0.5990, 0.5990, 0.0000]]
}